Ta2TiGa: relaxed, GGA-PBE.

Summary:
Energy of formation from the pure elements ... 0.451 eV per atom

```
Ta2TiGa
1.0
7.407 0.000 0.000
0.000 7.407 0.000
3.703 3.703 2.690
Ti Ga Ta
2 2 4
direct
0.500 0.500 0.000
0.250 0.750 0.500
0.000 0.000 0.000
0.750 0.250 0.500
0.643 0.125 0.250
0.107 0.625 0.250
0.375 0.357 0.750
0.875 0.893 0.750
```